[1]
Density functional theory data (GGA-PBE) for a relaxed structure of Cu3Pt.

## Properties
symmetry = Pmmn
total DFT energy (no corrections) = -35.4 eV per cell

a b c (Å): 4.3063 5.2940 4.5085
angles (deg): 90.00 90.00 90.00
Sites, in units of the cell vectors:
Cu 0.2500 0.0021 0.1681
Cu 0.2500 0.2500 0.6744
Cu 0.2500 0.4979 0.1681
Cu 0.7500 0.5021 0.8319
Cu 0.7500 0.7500 0.3256
Cu 0.7500 0.9979 0.8319
Pt 0.2500 0.7500 0.6709
Pt 0.7500 0.2500 0.3291

[2]
Density functional theory data (GGA-PBE) for a relaxed structure of RbTcAgSe2S.

## Properties
offset from the most stable computed form = 0 meV/atom
symmetry = P2_1/m

a b c (Å): 8.4907 3.8091 10.0366
angles (deg): 90.00 112.14 90.00
Sites, in units of the cell vectors:
Rb 0.2456 0.2500 0.2268
Rb 0.7544 0.7500 0.7732
Tc 0.1668 0.7500 0.6399
Tc 0.8332 0.2500 0.3601
Ag 0.4335 0.2500 0.8895
Ag 0.5665 0.7500 0.1105
Se 0.2218 0.7500 0.9136
Se 0.3667 0.2500 0.6155
Se 0.6333 0.7500 0.3845
Se 0.7782 0.2500 0.0864
S 0.0302 0.7500 0.3788
S 0.9698 0.2500 0.6212

[3]
Density functional theory data (GGA-PBE) for a relaxed structure of HfZnCoCu.

## Properties
offset from the most stable computed form = 144 meV/atom
symmetry = F-43m

a b c (Å): 4.3212 4.3212 4.3212
angles (deg): 60.00 60.00 60.00
Sites, in units of the cell vectors:
Hf 0.0000 0.0000 0.0000
Zn 0.2500 0.2500 0.2500
Co 0.7500 0.7500 0.7500
Cu 0.5000 0.5000 0.5000

[4]
Density functional theory data (GGA-PBE) for a relaxed structure of RbGaAu.

## Properties
offset from the most stable computed form = 455 meV/atom
symmetry = F-43m

a b c (Å): 5.1771 5.1771 5.1771
angles (deg): 60.00 60.00 60.00
Sites, in units of the cell vectors:
Rb 0.0000 0.0000 0.0000
Ga 0.7500 0.7500 0.7500
Au 0.5000 0.5000 0.5000